{
  "formula": "K3Y2ErO6",
  "functional": "PBE",
  "state": "optimized geometry",
  "cell": [[-4.352, -4.020, -1.058], [4.204, 1.053, -4.176], [3.622, -3.525, 4.203]],
  "species": ["K", "K", "K", "Y", "Y", "Er", "O", "O", "O", "O", "O", "O"],
  "frac_coords": [[0.166, 0.834, 0.500], [0.834, 0.166, 0.500], [0.500, 0.500, 0.500], [0.333, 0.667, 0.000], [0.667, 0.333, 0.000], [0.000, 0.000, 0.000], [0.938, 0.608, 0.815], [0.732, 0.732, 0.185], [0.062, 0.392, 0.185], [0.608, 0.938, 0.815], [0.268, 0.268, 0.815], [0.392, 0.062, 0.185]],
  "space_group": "C2/m, No. 12",
  "raw_formation_energy_ev_per_atom": -2.76
}


{
  "formula": "UP5",
  "functional": "PBE",
  "state": "optimized geometry",
  "cell": [[-2.436, -2.357, -1.511], [2.490, -0.908, -2.599], [1.420, -5.206, 5.830]],
  "species": ["P", "P", "P", "P", "P", "U"],
  "frac_coords": [[0.500, 0.855, 0.710], [0.000, 0.646, 0.293], [0.500, 0.500, 0.000], [0.000, 0.354, 0.707], [0.500, 0.145, 0.290], [0.000, 0.000, 0.000]],
  "space_group": "Cmmm, No. 65",
  "e_tot_ev_per_atom": -6.4722
}


{
  "formula": "SrSm12Dy6",
  "functional": "PBE",
  "state": "optimized geometry",
  "cell": [[8.769, -0.110, -1.165], [-1.316, 8.671, -1.165], [-0.096, -0.110, 8.846]],
  "species": ["Sr", "Sm", "Sm", "Sm", "Sm", "Sm", "Sm", "Sm", "Sm", "Sm", "Sm", "Sm", "Sm", "Dy", "Dy", "Dy", "Dy", "Dy", "Dy"],
  "frac_coords": [[0.000, 0.000, 0.000], [0.761, 0.239, 0.500], [0.361, 0.086, 0.361], [0.361, 0.361, 0.086], [0.914, 0.639, 0.639], [0.639, 0.639, 0.914], [0.639, 0.914, 0.639], [0.500, 0.761, 0.239], [0.239, 0.500, 0.761], [0.239, 0.761, 0.500], [0.500, 0.239, 0.761], [0.761, 0.500, 0.239], [0.086, 0.361, 0.361], [0.898, 0.349, 0.898], [0.898, 0.898, 0.349], [0.349, 0.898, 0.898], [0.102, 0.102, 0.651], [0.102, 0.651, 0.102], [0.651, 0.102, 0.102]],
  "space_group": "R-3m, No. 166",
  "e_tot_ev_per_atom": -4.3197
}


{
  "formula": "CsLiGa2Ni",
  "functional": "PBE",
  "state": "optimized geometry",
  "cell": [[-3.449, -2.609, -1.832], [2.469, -0.479, -3.966], [2.342, -4.501, 2.002]],
  "species": ["Cs", "Ni", "Ga", "Ga", "Li"],
  "frac_coords": [[0.500, 0.500, 0.500], [0.000, 0.000, 0.000], [0.000, 0.500, 0.000], [0.500, 0.000, 0.000], [0.000, 0.000, 0.500]],
  "space_group": "P4/mmm, No. 123",
  "e_tot_ev_per_atom": -2.9665
}


{
  "formula": "Er4Pd2Pt5",
  "functional": "PBE",
  "state": "optimized geometry",
  "cell": [[-3.500, -4.317, -1.310], [2.316, -5.239, -1.363], [-2.046, -4.528, 7.947]],
  "species": ["Er", "Er", "Er", "Er", "Pd", "Pd", "Pt", "Pt", "Pt", "Pt", "Pt"],
  "frac_coords": [[0.785, 0.682, 0.748], [0.215, 0.318, 0.252], [0.533, 0.682, 0.252], [0.467, 0.318, 0.748], [0.754, 0.000, 0.491], [0.246, 0.000, 0.509], [0.500, 0.000, 0.000], [0.000, 0.500, 0.000], [0.500, 0.500, 0.000], [0.250, 0.500, 0.500], [0.750, 0.500, 0.500]],
  "space_group": "Fmmm, No. 69",
  "e_tot_ev_per_atom": -5.9483
}


{
  "formula": "Sc2AsPb",
  "functional": "PBE",
  "state": "optimized geometry",
  "cell": [[1.917, 0.000, 10.396], [-0.958, 1.660, 10.396], [-0.958, -1.660, 10.396]],
  "species": ["Pb", "Sc", "Sc", "As"],
  "frac_coords": [[0.500, 0.500, 0.500], [0.916, 0.916, 0.916], [0.084, 0.084, 0.084], [0.000, 0.000, 0.000]],
  "space_group": "R-3m, No. 166",
  "e_above_lowest_polymorph_ev_per_atom": 0.813
}


{
  "formula": "Mn2Ag4Cl9",
  "functional": "PBE",
  "state": "optimized geometry",
  "cell": [[-5.307, -3.070, -2.916], [-3.028, -5.120, 3.105], [-10.650, 10.925, 10.297]],
  "species": ["Mn", "Mn", "Mn", "Mn", "Ag", "Ag", "Ag", "Ag", "Ag", "Ag", "Ag", "Ag", "Cl", "Cl", "Cl", "Cl", "Cl", "Cl", "Cl", "Cl", "Cl", "Cl", "Cl", "Cl", "Cl", "Cl", "Cl", "Cl", "Cl", "Cl"],
  "frac_coords": [[0.967, 0.036, 0.353], [0.874, 0.092, 0.164], [0.033, 0.964, 0.647], [0.126, 0.908, 0.836], [0.496, 0.230, 0.938], [0.331, 0.324, 0.485], [0.504, 0.770, 0.062], [0.223, 0.407, 0.179], [0.669, 0.676, 0.515], [0.613, 0.710, 0.326], [0.387, 0.290, 0.674], [0.777, 0.593, 0.821], [0.093, 0.211, 0.751], [0.363, 0.648, 0.754], [0.784, 0.939, 0.742], [0.907, 0.789, 0.249], [0.637, 0.352, 0.246], [0.216, 0.061, 0.258], [0.677, 0.004, 0.415], [0.957, 0.353, 0.411], [0.305, 0.700, 0.416], [0.528, 0.138, 0.086], [0.129, 0.806, 0.097], [0.880, 0.386, 0.091], [0.323, 0.996, 0.585], [0.043, 0.647, 0.589], [0.695, 0.300, 0.584], [0.472, 0.862, 0.914], [0.871, 0.194, 0.903], [0.120, 0.614, 0.909]],
  "space_group": "P-1, No. 2",
  "raw_formation_energy_ev_per_atom": -0.69
}


Copy entry 5 word for word.
{
  "formula": "Er4Pd2Pt5",
  "functional": "PBE",
  "state": "optimized geometry",
  "cell": [[-3.500, -4.317, -1.310], [2.316, -5.239, -1.363], [-2.046, -4.528, 7.947]],
  "species": ["Er", "Er", "Er", "Er", "Pd", "Pd", "Pt", "Pt", "Pt", "Pt", "Pt"],
  "frac_coords": [[0.785, 0.682, 0.748], [0.215, 0.318, 0.252], [0.533, 0.682, 0.252], [0.467, 0.318, 0.748], [0.754, 0.000, 0.491], [0.246, 0.000, 0.509], [0.500, 0.000, 0.000], [0.000, 0.500, 0.000], [0.500, 0.500, 0.000], [0.250, 0.500, 0.500], [0.750, 0.500, 0.500]],
  "space_group": "Fmmm, No. 69",
  "e_tot_ev_per_atom": -5.9483
}